(1)
Cr3BAu: relaxed, GGA-PBE.

Calculated values
Uncorrected energy: -7.501 eV/atom
ΔH_f (0 K): 25.5 kJ/mol of atoms

Cell lengths 3.939, 3.939, 3.939 Å; angles 90.00, 90.00, 90.00 degrees
Element x y z (fractional)
Cr  0.500  0.000  0.000
Cr  0.000  0.500  0.000
Cr  0.000  0.000  0.500
B  0.000  0.000  0.000
Au  0.500  0.500  0.500

(2)
Cd2SbAs: relaxed, GGA-PBE.

Calculated values
Uncorrected energy: -2.394 eV/atom

Cell lengths 5.118, 5.118, 5.118 Å; angles 60.00, 60.00, 60.00 degrees
Element x y z (fractional)
Sb  0.500  0.500  0.500
Cd  0.750  0.750  0.750
Cd  0.250  0.250  0.250
As  0.000  0.000  0.000

(3)
Pr2Dy3HoEr6: relaxed, GGA-PBE.

Calculated values
Uncorrected energy: -4.590 eV/atom
ΔH_f (0 K): 1.9 kJ/mol of atoms

Cell lengths 6.152, 6.152, 11.736 Å; angles 95.00, 95.00, 119.96 degrees
Element x y z (fractional)
Er  0.417  0.085  0.253
Er  0.752  0.752  0.253
Er  0.248  0.248  0.747
Er  0.583  0.915  0.747
Er  0.085  0.417  0.253
Er  0.915  0.583  0.747
Pr  0.333  0.667  0.000
Pr  0.667  0.333  0.000
Dy  0.500  0.500  0.500
Dy  0.833  0.167  0.500
Dy  0.167  0.833  0.500
Ho  0.000  0.000  0.000